No. 1
DyScInNi2 after structural relaxation. Source: the Open Quantum Materials Database, functional PBE.

a b c (Å): 3.545 7.283 7.283
angles (deg): 30.53 90.00 90.00
Fractional coordinates of all 5 atoms:
Dy 0.500 0.361 0.361
In 0.000 0.005 0.005
Ni 0.000 0.195 0.195
Ni 0.000 0.800 0.800
Sc 0.500 0.640 0.640

Calculated values
Raw total energy ... -0.2014 Ha/atom
Crystal system ... orthorhombic
Space-group type ... Amm2
Magnetic moment ... 0.0 μB/cell

No. 2
LuBePO after structural relaxation. Source: the Open Quantum Materials Database, functional PBE.

a b c (Å): 3.683 3.683 8.224
angles (deg): 90.00 90.00 90.00
Fractional coordinates of all 8 atoms:
Be 0.750 0.250 0.500
Be 0.250 0.750 0.500
Lu 0.250 0.250 0.135
Lu 0.750 0.750 0.865
O 0.750 0.250 0.000
O 0.250 0.750 0.000
P 0.750 0.750 0.346
P 0.250 0.250 0.654

Calculated values
Distance to the lowest polymorph of the same formula ... 0 meV per atom
Crystal system ... tetragonal
Space-group type ... P4/nmm
Magnetic moment ... 0.0 μB/cell

No. 3
NpInSb after structural relaxation. Source: the Open Quantum Materials Database, functional PBE.

a b c (Å): 5.062 5.062 5.062
angles (deg): 60.00 60.00 60.00
Fractional coordinates of all 3 atoms:
In 0.000 0.000 0.000
Np 0.250 0.250 0.250
Sb 0.750 0.750 0.750

Calculated values
Raw total energy ... -0.2272 Ha/atom
Crystal system ... cubic
Space-group type ... F-43m
Magnetic moment ... 4.7 μB/cell

No. 4
TaAlO3 after structural relaxation. Source: the Open Quantum Materials Database, functional PBE.

a b c (Å): 6.100 6.100 6.100
angles (deg): 47.79 47.79 47.79
Fractional coordinates of all 10 atoms:
Al 0.250 0.250 0.250
Al 0.750 0.750 0.750
O 0.393 0.750 0.107
O 0.893 0.607 0.250
O 0.750 0.107 0.393
O 0.250 0.893 0.607
O 0.107 0.393 0.750
O 0.607 0.250 0.893
Ta 0.000 0.000 0.000
Ta 0.500 0.500 0.500

Calculated values
Raw total energy ... -0.2990 Ha/atom
Crystal system ... trigonal
Space-group type ... R-3c
Magnetic moment ... 1.9 μB/cell

No. 5
TmCo2SiP after structural relaxation. Source: the Open Quantum Materials Database, functional PBE.

a b c (Å): 5.457 5.457 5.457
angles (deg): 139.01 139.01 59.36
Fractional coordinates of all 5 atoms:
Co 0.752 0.252 0.500
Co 0.252 0.752 0.500
P 0.375 0.375 0.000
Si 0.624 0.624 0.000
Tm 0.998 0.998 0.000

Calculated values
Raw total energy ... -0.2519 Ha/atom
Crystal system ... tetragonal
Space-group type ... I4mm
Magnetic moment ... 0.5 μB/cell

No. 6
RbNaReIr after structural relaxation. Source: the Open Quantum Materials Database, functional PBE.

a b c (Å): 4.765 4.765 4.765
angles (deg): 60.00 60.00 60.00
Fractional coordinates of all 4 atoms:
Ir 0.000 0.000 0.000
Na 0.750 0.750 0.750
Rb 0.500 0.500 0.500
Re 0.250 0.250 0.250

Calculated values
Distance to the lowest polymorph of the same formula ... 0 meV per atom
Crystal system ... cubic
Space-group type ... F-43m
Magnetic moment ... 0.3 μB/cell

No. 7
Ag9Sn2 after structural relaxation. Source: the Open Quantum Materials Database, functional PBE.

a b c (Å): 3.016 3.016 30.908
angles (deg): 90.00 90.00 120.00
Fractional coordinates of all 11 atoms:
Ag 0.333 0.667 0.200
Ag 0.000 0.000 0.275
Ag 0.667 0.333 0.351
Ag 0.333 0.667 0.425
Ag 0.000 0.000 0.500
Ag 0.667 0.333 0.575
Ag 0.333 0.667 0.649
Ag 0.000 0.000 0.725
Ag 0.667 0.333 0.800
Sn 0.667 0.333 0.119
Sn 0.333 0.667 0.881

Calculated values
Raw total energy ... -0.1089 Ha/atom
Crystal system ... trigonal
Space-group type ... P-3m1

No. 8
CsNiBiTe3 after structural relaxation. Source: the Open Quantum Materials Database, functional PBE.

a b c (Å): 8.629 8.629 12.056
angles (deg): 90.00 90.00 149.88
Fractional coordinates of all 12 atoms:
Bi 0.000 0.000 0.000
Bi 0.000 0.000 0.500
Cs 0.257 0.743 0.250
Cs 0.743 0.257 0.750
Ni 0.536 0.464 0.250
Ni 0.464 0.536 0.750
Te 0.621 0.379 0.070
Te 0.955 0.045 0.250
Te 0.621 0.379 0.430
Te 0.379 0.621 0.570
Te 0.045 0.955 0.750
Te 0.379 0.621 0.930

Calculated values
Raw total energy ... -0.1340 Ha/atom
Crystal system ... orthorhombic
Space-group type ... Cmcm
Magnetic moment ... 4.0 μB/cell

No. 9
Sm2Er2CIBr4 after structural relaxation. Source: the Open Quantum Materials Database, functional PBE.

a b c (Å): 9.156 9.156 8.696
angles (deg): 102.89 102.89 24.63
Fractional coordinates of all 10 atoms:
Br 0.827 0.827 0.148
Br 0.168 0.168 0.311
Br 0.832 0.832 0.689
Br 0.173 0.173 0.852
C 0.500 0.500 0.000
Er 0.636 0.636 0.067
Er 0.364 0.364 0.933
I 0.500 0.500 0.500
Sm 0.999 0.999 0.194
Sm 0.001 0.001 0.806

Calculated values
Raw total energy ... -0.1824 Ha/atom
Crystal system ... monoclinic
Space-group type ... C2/m
Magnetic moment ... 0.0 μB/cell

No. 10
FeCuBMo after structural relaxation. Source: the Open Quantum Materials Database, functional PBE.

a b c (Å): 3.994 3.994 3.994
angles (deg): 60.00 60.00 60.00
Fractional coordinates of all 4 atoms:
B 0.250 0.250 0.250
Cu 0.750 0.750 0.750
Fe 0.500 0.500 0.500
Mo 0.000 0.000 0.000

Calculated values
Distance to the lowest polymorph of the same formula ... 32 meV per atom
Crystal system ... cubic
Space-group type ... F-43m
Magnetic moment ... 2.2 μB/cell

No. 11
PaFeBi after structural relaxation. Source: the Open Quantum Materials Database, functional PBE.

a b c (Å): 4.788 4.395 6.773
angles (deg): 90.00 101.11 90.00
Fractional coordinates of all 6 atoms:
Bi 0.200 0.250 0.317
Bi 0.800 0.750 0.683
Fe 0.193 0.750 0.071
Fe 0.807 0.250 0.929
Pa 0.672 0.750 0.175
Pa 0.328 0.250 0.825

Calculated values
Raw total energy ... -0.2765 Ha/atom
Crystal system ... monoclinic
Space-group type ... P2_1/m
Magnetic moment ... 0.0 μB/cell

No. 12
UN2 after structural relaxation. Source: the Open Quantum Materials Database, functional PBE.

a b c (Å): 4.930 4.930 3.492
angles (deg): 90.00 90.00 90.00
Fractional coordinates of all 6 atoms:
N 0.319 0.319 0.000
N 0.681 0.681 0.000
N 0.819 0.181 0.500
N 0.181 0.819 0.500
U 0.000 0.000 0.000
U 0.500 0.500 0.500

Calculated values
Raw total energy ... -0.3868 Ha/atom
Crystal system ... tetragonal
Space-group type ... P4_2/mnm
Magnetic moment ... 0.0 μB/cell

No. 13
YHgTe3Pb after structural relaxation. Source: the Open Quantum Materials Database, functional PBE.

a b c (Å): 7.844 7.844 11.137
angles (deg): 90.00 90.00 147.44
Fractional coordinates of all 12 atoms:
Hg 0.472 0.528 0.250
Hg 0.528 0.472 0.750
Pb 0.773 0.227 0.250
Pb 0.227 0.773 0.750
Te 0.354 0.646 0.040
Te 0.105 0.895 0.250
Te 0.354 0.646 0.460
Te 0.646 0.354 0.540
Te 0.895 0.105 0.750
Te 0.646 0.354 0.960
Y 0.000 0.000 0.000
Y 0.000 0.000 0.500

Calculated values
Raw total energy ... -0.1442 Ha/atom
Crystal system ... orthorhombic
Space-group type ... Cmcm
Magnetic moment ... 0.0 μB/cell

No. 14
YTmPbC after structural relaxation. Source: the Open Quantum Materials Database, functional PBE.

a b c (Å): 3.618 3.618 15.974
angles (deg): 90.00 90.00 120.00
Fractional coordinates of all 8 atoms:
C 0.000 0.000 0.252
C 0.000 0.000 0.748
Pb 0.667 0.333 0.000
Pb 0.333 0.667 0.500
Tm 0.667 0.333 0.332
Tm 0.667 0.333 0.668
Y 0.333 0.667 0.167
Y 0.333 0.667 0.833

Calculated values
Raw total energy ... -0.2384 Ha/atom
Crystal system ... hexagonal
Space-group type ... P-6m2
Magnetic moment ... 0.0 μB/cell

No. 15
BaNaPrTe3 after structural relaxation. Source: the Open Quantum Materials Database, functional PBE.

a b c (Å): 11.904 4.749 15.324
angles (deg): 90.00 90.00 90.00
Fractional coordinates of all 24 atoms:
Ba 0.235 0.250 0.005
Ba 0.735 0.250 0.495
Ba 0.265 0.750 0.505
Ba 0.765 0.750 0.995
Na 0.238 0.750 0.228
Na 0.738 0.750 0.272
Na 0.262 0.250 0.728
Na 0.762 0.250 0.772
Pr 0.487 0.250 0.246
Pr 0.987 0.250 0.254
Pr 0.013 0.750 0.746
Pr 0.513 0.750 0.754
Te 0.433 0.750 0.108
Te 0.040 0.750 0.113
Te 0.739 0.250 0.161
Te 0.239 0.250 0.339
Te 0.540 0.750 0.387
Te 0.933 0.750 0.392
Te 0.067 0.250 0.608
Te 0.460 0.250 0.613
Te 0.761 0.750 0.661
Te 0.261 0.750 0.839
Te 0.960 0.250 0.887
Te 0.567 0.250 0.892

Calculated values
Raw total energy ... -0.1578 Ha/atom
Crystal system ... orthorhombic
Space-group type ... Pnma
Magnetic moment ... 0.0 μB/cell

No. 16
TbPaC2 after structural relaxation. Source: the Open Quantum Materials Database, functional PBE.

a b c (Å): 3.743 3.743 13.349
angles (deg): 90.00 90.00 119.81
Fractional coordinates of all 8 atoms:
C 0.669 0.331 0.078
C 0.669 0.331 0.422
C 0.331 0.669 0.578
C 0.331 0.669 0.922
Pa 0.000 0.000 0.000
Pa 0.000 0.000 0.500
Tb 0.667 0.333 0.250
Tb 0.333 0.667 0.750

Calculated values
Raw total energy ... -0.2871 Ha/atom
Crystal system ... orthorhombic
Space-group type ... Cmcm
Magnetic moment ... 1.2 μB/cell

No. 17
AlCu after structural relaxation. Source: the Open Quantum Materials Database, functional PBE.

a b c (Å): 5.025 5.025 4.164
angles (deg): 90.00 90.00 120.00
Fractional coordinates of all 6 atoms:
Al 0.000 0.000 0.000
Al 0.667 0.333 0.500
Al 0.333 0.667 0.500
Cu 0.500 0.000 0.000
Cu 0.000 0.500 0.000
Cu 0.500 0.500 0.000

Calculated values
Raw total energy ... -0.1422 Ha/atom
Crystal system ... hexagonal
Space-group type ... P6/mmm

No. 18
HfTaNi after structural relaxation. Source: the Open Quantum Materials Database, functional PBE.

a b c (Å): 6.317 5.158 5.072
angles (deg): 76.26 52.48 51.25
Fractional coordinates of all 6 atoms:
Hf 0.841 0.841 0.159
Hf 0.159 0.159 0.841
Ni 0.250 0.250 0.250
Ni 0.750 0.750 0.750
Ta 0.339 0.661 0.339
Ta 0.661 0.339 0.661

Calculated values
Distance to the lowest polymorph of the same formula ... 0 meV per atom
Crystal system ... orthorhombic
Space-group type ... Fmmm
Magnetic moment ... 0.0 μB/cell

No. 19
AcFeRe after structural relaxation. Source: the Open Quantum Materials Database, functional PBE.

a b c (Å): 4.580 4.580 4.580
angles (deg): 60.00 60.00 60.00
Fractional coordinates of all 3 atoms:
Ac 0.250 0.250 0.250
Fe 0.000 0.000 0.000
Re 0.750 0.750 0.750

Calculated values
Distance to the lowest polymorph of the same formula ... 0 meV per atom
Crystal system ... cubic
Space-group type ... F-43m
Magnetic moment ... 3.9 μB/cell

No. 20
LiCuNi2 after structural relaxation. Source: the Open Quantum Materials Database, functional PBE.

a b c (Å): 3.958 3.958 3.958
angles (deg): 60.00 60.00 60.00
Fractional coordinates of all 4 atoms:
Cu 0.250 0.250 0.250
Li 0.500 0.500 0.500
Ni 0.000 0.000 0.000
Ni 0.750 0.750 0.750

Calculated values
Raw total energy ... -0.1526 Ha/atom
Crystal system ... cubic
Space-group type ... F-43m
Magnetic moment ... 0.3 μB/cell

No. 21
CdPdO3 after structural relaxation. Source: the Open Quantum Materials Database, functional PBE.

a b c (Å): 5.364 5.364 5.839
angles (deg): 62.66 62.66 60.00
Fractional coordinates of all 10 atoms:
Cd 0.633 0.633 0.100
Cd 0.367 0.367 0.900
O 0.560 0.208 0.272
O 0.960 0.560 0.272
O 0.208 0.960 0.272
O 0.792 0.040 0.728
O 0.040 0.440 0.728
O 0.440 0.792 0.728
Pd 0.840 0.840 0.481
Pd 0.160 0.160 0.519

Calculated values
Raw total energy ... -0.1772 Ha/atom
Crystal system ... trigonal
Space-group type ... R-3

No. 22
CdTeNO after structural relaxation. Source: the Open Quantum Materials Database, functional PBE.

a b c (Å): 4.103 6.066 5.454
angles (deg): 90.00 90.00 90.00
Fractional coordinates of all 8 atoms:
Cd 0.500 0.984 0.227
Cd 0.500 0.484 0.773
N 0.000 0.932 0.373
N 0.000 0.432 0.627
O 0.500 0.372 0.190
O 0.500 0.872 0.810
Te 0.000 0.466 0.269
Te 0.000 0.966 0.731

Calculated values
Distance to the lowest polymorph of the same formula ... 78 meV per atom
Crystal system ... orthorhombic
Space-group type ... Pmc2_1

No. 23
KNaIr after structural relaxation. Source: the Open Quantum Materials Database, functional PBE.

a b c (Å): 5.069 5.069 5.069
angles (deg): 60.00 60.00 60.00
Fractional coordinates of all 3 atoms:
Ir 0.250 0.250 0.250
K 0.000 0.000 0.000
Na 0.750 0.750 0.750

Calculated values
Distance to the lowest polymorph of the same formula ... 265 meV per atom
Crystal system ... cubic
Space-group type ... F-43m
Magnetic moment ... 1.0 μB/cell

No. 24
TlCuTcAg after structural relaxation. Source: the Open Quantum Materials Database, functional PBE.

a b c (Å): 4.605 4.605 4.605
angles (deg): 60.00 60.00 60.00
Fractional coordinates of all 4 atoms:
Ag 0.500 0.500 0.500
Cu 0.750 0.750 0.750
Tc 0.250 0.250 0.250
Tl 0.000 0.000 0.000

Calculated values
Distance to the lowest polymorph of the same formula ... 0 meV per atom
Crystal system ... cubic
Space-group type ... F-43m
Magnetic moment ... 1.6 μB/cell

No. 25
TmZr2Te4 after structural relaxation. Source: the Open Quantum Materials Database, functional PBE.

a b c (Å): 7.611 7.611 7.611
angles (deg): 130.18 130.18 73.13
Fractional coordinates of all 7 atoms:
Te 0.429 0.913 0.055
Te 0.626 0.571 0.484
Te 0.087 0.142 0.516
Te 0.858 0.374 0.945
Tm 0.000 0.000 0.000
Zr 0.500 0.500 0.000
Zr 0.250 0.750 0.500

Calculated values
Raw total energy ... -0.1987 Ha/atom
Crystal system ... tetragonal
Space-group type ... I-4
Magnetic moment ... 1.8 μB/cell